VASP calculation (PBE) on a relaxed HfTlNiPd crystal.

a = 4.595 Å, b = 4.595 Å, c = 4.595 Å
α = 60.00°, β = 60.00°, γ = 60.00°
Element x y z (fractional)
Hf: 0.500 0.500 0.500
Ni: 0.750 0.750 0.750
Pd: 0.250 0.250 0.250
Tl: 0.000 0.000 0.000

For the energy above the lowest structure with this stoichiometry, the calculation gives 0 meV per atom.